A relaxed In2Te2I crystal. Source: Alexandria via LeMat-Bulk, functional PBE-GGA. Values from VASP.

D(E_F) = 0.592 states/eV per atom
V = 303.1 Å³/cell
formation energy from raw total energies = -0.11 eV per atom
magnetic moment = 0.00 μB/cell
space group = No. 127
energy above the lowest structure with this stoichiometry = 15.6 kJ per mole of atoms

Cell and atoms, written as Quantum ESPRESSO input:
```
&SYSTEM
  ibrav = 0, nat = 10, ntyp = 3
/
ATOMIC_SPECIES
In 114.82 In.upf
Te 127.60 Te.upf
I 126.90 I.upf
ATOMIC_POSITIONS angstrom
In 1.3887 3.0071 0.0000
In 3.0071 7.4029 0.0000
In 5.7845 1.3887 0.0000
In 7.4029 5.7845 0.0000
Te 1.2643 5.6601 1.9605
Te 3.1316 1.2643 1.9605
Te 5.6601 7.5274 1.9605
Te 7.5274 3.1316 1.9605
I 0.0000 0.0000 0.0000
I 4.3958 4.3958 0.0000
CELL_PARAMETERS angstrom
8.7916 0.0000 0.0000
0.0000 8.7916 0.0000
0.0000 0.0000 3.9210
```